Entry from the Alexandria database: a relaxed structure of TaFe2P (PBE).

a b c (Å): 7.700 7.700 7.700
angles (deg): 21.90 21.90 21.90
Atoms (fractional coordinates):
P 0.509 0.509 0.509
Fe 0.993 0.993 0.993
Fe 0.246 0.246 0.246
Ta 0.752 0.752 0.752

Magnetic moment   4.15 μB/cell
E_form   0.40 eV per formula unit

---

Entry from the Alexandria database: a relaxed structure of TaFe2P (PBE).

a b c (Å): 6.662 6.662 5.334
angles (deg): 51.35 51.35 90.00
Atoms (fractional coordinates):
Fe 0.375 0.445 0.750
Fe 0.555 0.125 0.250
Fe 0.875 0.805 0.750
Fe 0.195 0.625 0.250
Ta 0.750 0.250 0.500
Ta 0.000 0.000 0.000
P 0.500 0.500 0.000
P 0.250 0.750 0.500

Magnetic moment   5.45 μB/cell
E_form   0.27 eV per formula unit

---

Q: E_form of number 1 (TaFe2P)?
A: 0.40 eV per formula unit